(1)
ZnCrTcRu GGA-PBE optimized geometry; ρ = 9.77 g/cm³; V = 13.45 A^3/atom; formation energy from the elements = 0.10 eV per atom
1.0
-0.7508 3.1584 2.7228
-3.3017 2.5842 -0.6113
-3.3461 -0.1883 2.5925
Tc Zn Cr Ru
1 1 1 1
direct
0.7500 0.7500 0.7500
0.0000 0.0000 0.0000
0.5000 0.5000 0.5000
0.2500 0.2500 0.2500

***

(2)
CePu3C GGA-PBE optimized geometry; ρ = 12.61 g/cm³; V = 23.28 A^3/atom; formation energy from the elements = 0.21 eV per atom
1.0
4.8828 0.0000 0.0000
0.0000 4.8828 0.0000
0.0000 0.0000 4.8828
Pu C Ce
3 1 1
direct
0.0000 0.5000 0.0000
0.5000 0.0000 0.0000
0.0000 0.0000 0.5000
0.0000 0.0000 0.0000
0.5000 0.5000 0.5000

***

(3)
Mg2Ni5As4 GGA-PBE optimized geometry; ρ = 6.18 g/cm³; V = 15.69 A^3/atom; formation energy from the elements = -0.22 eV per atom
1.0
5.1041 0.0000 0.0000
2.5521 4.6310 0.0000
2.5521 0.0000 7.3005
As Ni Mg
4 5 2
direct
0.7843 0.6890 0.7423
0.4733 0.3110 0.7423
0.5267 0.6890 0.2577
0.2157 0.3110 0.2577
0.0000 0.5000 0.0000
0.5000 0.0000 0.0000
0.7500 0.5000 0.5000
0.5000 0.5000 0.0000
0.2500 0.5000 0.5000
0.1065 0.0000 0.7870
0.8935 0.0000 0.2130